Record 1
ZrTe2Pt | GGA-PBE | optimized geometry

formation energy from raw total energies = -0.31 eV per atom
spin magnetization = 0.0 μB per cell
E above lowest polymorph = 135 kJ/mol of formula units

Geometry as extended XYZ:
```
4
Lattice="-1.032 -4.552 3.565 0.469 -5.493 -2.026 3.111 4.981 -0.003" Properties=species:S:1:pos:R:3 pbc="T T T"
Te 0.000 0.000 0.000
Te 1.650 -2.767 -0.629
Zr -0.281 -5.022 0.770
Pt 0.899 -2.296 2.166
```

***

Record 2
Tb2PmHo9 | GGA-PBE | optimized geometry

spin magnetization = 0.0 μB per cell
E above lowest polymorph = 0 kJ/mol of formula units
energy relative to the elements = 0.021 eV/atom

Geometry as extended XYZ:
```
12
Lattice="-0.343 4.740 1.576 -4.980 -0.448 0.264 1.172 -4.648 14.236" Properties=species:S:1:pos:R:3 pbc="T T T"
Tb 0.781 -3.095 9.482
Tb 0.391 -1.552 4.754
Ho -2.270 0.592 5.678
Ho 0.803 -1.497 12.632
Ho 0.414 0.046 7.906
Ho -1.881 -0.948 10.397
Ho 0.025 1.589 3.180
Ho -1.515 -4.091 11.976
Ho -2.662 2.146 0.920
Ho -2.293 -1.005 2.524
Ho -1.904 -2.548 7.250
Pm 0.000 0.000 0.000
```

***

Record 3
Ac2Pm4NdDy | GGA-PBE | optimized geometry

spin magnetization = 0.0 μB per cell
energy relative to the elements = 0.388 eV/atom

Geometry as extended XYZ:
```
16
Lattice="-7.672 4.299 -4.465 1.916 -4.749 -8.429 0.619 -4.322 11.362" Properties=species:S:1:pos:R:3 pbc="T T T"
Dy -2.568 -2.386 -0.766
Dy -7.053 -0.023 6.897
Pm -1.353 -0.268 -3.083
Pm -1.046 -2.277 2.246
Pm -4.924 -0.317 0.150
Pm -5.480 2.077 -5.430
Pm 0.344 -6.849 3.897
Pm -0.212 -4.455 -1.682
Pm -3.783 -4.504 1.550
Pm -4.091 -2.495 -3.779
Ac -3.836 2.149 -2.233
Ac 0.310 -2.161 5.681
Ac -2.878 -0.225 -6.447
Ac -3.527 -0.012 3.448
Nd 0.958 -2.374 -4.215
Nd -6.405 -0.237 -2.999
```

***

Record 4
CaInAg3 | GGA-PBE | optimized geometry

spin magnetization = 0.0 μB per cell
E above lowest polymorph = 0 kJ/mol of formula units
energy relative to the elements = -0.169 eV/atom

Geometry as extended XYZ:
```
20
Lattice="5.608 0.000 0.000 0.000 9.140 -2.389 0.000 0.812 8.564" Properties=species:S:1:pos:R:3 pbc="T T T"
Ag 3.580 8.002 -1.912
Ag 0.776 1.545 3.805
Ag 3.253 2.652 4.867
Ag 4.832 8.408 2.370
Ag 0.703 6.143 3.251
Ag 0.449 7.706 5.590
Ag 4.904 3.809 2.923
Ag 2.355 7.300 1.308
Ag 2.028 1.951 8.086
Ag 3.507 4.215 7.205
Ag 2.101 5.737 -1.030
Ag 5.158 2.246 0.585
In 4.834 1.249 6.933
In 0.774 8.703 -0.758
In 2.030 9.109 3.524
In 3.578 0.843 2.651
Ca 0.663 4.106 5.887
Ca 2.141 3.700 1.605
Ca 4.945 5.846 0.288
Ca 3.467 6.252 4.569
```

***

Record 5
TlW2Au | GGA-PBE | optimized geometry

spin magnetization = 0.0 μB per cell
E above lowest polymorph = 206 kJ/mol of formula units
energy relative to the elements = 1.042 eV/atom

Geometry as extended XYZ:
```
4
Lattice="-1.518 4.635 -0.862 -2.694 -1.596 -3.837 -2.283 -0.417 1.777" Properties=species:S:1:pos:R:3 pbc="T T T"
Au -1.901 2.109 0.457
W -2.106 1.519 -2.350
W 0.000 0.000 0.000
Tl -2.489 -1.007 -1.030
```

***

Record 6
Li3Al2Cu2 | GGA-PBE | optimized geometry

spin magnetization = 0.0 μB per cell
E above lowest polymorph = 50 kJ/mol of formula units
energy relative to the elements = -0.135 eV/atom

Geometry as extended XYZ:
```
7
Lattice="-1.741 0.206 -2.006 -2.319 -2.938 1.711 -3.647 8.087 3.997" Properties=species:S:1:pos:R:3 pbc="T T T"
Cu -3.650 3.930 1.803
Cu -4.057 1.425 1.899
Li 0.000 0.000 0.000
Li -2.803 -0.302 0.632
Li -4.904 5.657 3.069
Al -1.579 2.175 1.595
Al -4.386 2.974 4.113
```

***

Record 7
CaMg7In12 | GGA-PBE | optimized geometry

spin magnetization = 0.0 μB per cell
energy relative to the elements = 0.185 eV/atom

Geometry as extended XYZ:
```
20
Lattice="-2.345 -3.050 8.583 6.722 -5.530 -3.565 3.183 8.833 0.573" Properties=species:S:1:pos:R:3 pbc="T T T"
Mg 2.188 -4.290 2.509
Mg 3.780 0.126 2.795
Mg 4.952 1.651 -1.496
Mg 3.361 -2.765 -1.782
Mg 0.419 2.891 4.578
Mg 1.592 4.416 0.286
Mg -1.172 -1.525 4.292
In 1.294 -1.441 2.694
In 1.686 2.034 2.007
In 3.330 -5.432 5.028
In -0.343 -0.900 7.042
In 5.484 -4.472 -0.675
In 6.266 1.693 2.897
In 2.076 4.724 6.266
In 4.230 5.684 0.563
In 4.265 0.636 5.650
In 3.295 -0.384 -0.059
In 7.902 1.152 -1.451
In 5.873 -1.782 3.584
Ca 0.000 0.000 0.000
```

***

Record 8
PrGd3O | GGA-PBE | optimized geometry

formation energy from raw total energies = -1.07 eV per atom
spin magnetization = 22.1 μB per cell

Geometry as extended XYZ:
```
5
Lattice="5.031 0.000 0.000 0.000 5.031 0.000 0.000 0.000 5.031" Properties=species:S:1:pos:R:3 pbc="T T T"
Gd 0.000 0.000 2.516
Gd 0.000 2.516 0.000
Gd 2.516 0.000 0.000
Pr 2.516 2.516 2.516
O 0.000 0.000 0.000
```

***

Record 9
Rb2ZnGaBr6 | GGA-PBE | optimized geometry

formation energy from raw total energies = -1.11 eV per atom
spin magnetization = 0.0 μB per cell

Geometry as extended XYZ:
```
10
Lattice="7.602 0.000 0.000 0.000 7.602 0.000 3.801 3.801 5.404" Properties=species:S:1:pos:R:3 pbc="T T T"
Br 7.602 7.602 2.725
Br 3.801 3.801 2.679
Br 1.921 1.921 0.000
Br 5.680 5.680 0.000
Br 1.921 5.680 0.000
Br 5.680 1.921 0.000
Ga 0.000 0.000 0.000
Rb 3.801 7.602 2.702
Rb 7.602 3.801 2.702
Zn 3.801 3.801 0.000
```

***

Record 10
LaPm2Nd | GGA-PBE | optimized geometry

spin magnetization = 0.0 μB per cell
E above lowest polymorph = 9 kJ/mol of formula units
energy relative to the elements = 0.018 eV/atom

Geometry as extended XYZ:
```
4
Lattice="-0.484 -2.730 -2.439 2.795 -2.277 -0.800 -2.654 -8.995 7.795" Properties=species:S:1:pos:R:3 pbc="T T T"
Nd -1.113 -12.332 5.636
Pm -0.072 -3.473 1.105
Pm -1.812 -7.194 5.613
La -0.170 -6.998 2.275
```

***

Record 11
BeNi12Sn3 | GGA-PBE | optimized geometry

spin magnetization = 1.4 μB per cell
energy relative to the elements = -0.165 eV/atom

Geometry as extended XYZ:
```
16
Lattice="3.710 0.000 0.000 0.000 3.710 0.000 0.000 0.000 14.279" Properties=species:S:1:pos:R:3 pbc="T T T"
Sn 0.000 0.000 7.140
Sn 0.000 0.000 3.364
Sn 0.000 0.000 10.915
Ni 1.855 0.000 9.019
Ni 1.855 0.000 1.491
Ni 0.000 1.855 5.260
Ni 1.855 0.000 5.260
Ni 1.855 0.000 12.788
Ni 1.855 1.855 0.000
Ni 1.855 1.855 7.140
Ni 1.855 1.855 3.409
Ni 0.000 1.855 12.788
Ni 1.855 1.855 10.870
Ni 0.000 1.855 9.019
Ni 0.000 1.855 1.491
Be 0.000 0.000 0.000
```

***

Record 12
DyFe3B3 | GGA-PBE | optimized geometry

spin magnetization = 5.3 μB per cell
E above lowest polymorph = 34 kJ/mol of formula units
energy relative to the elements = -0.066 eV/atom

Geometry as extended XYZ:
```
14
Lattice="5.497 0.000 0.000 0.000 5.497 0.000 0.000 0.000 5.497" Properties=species:S:1:pos:R:3 pbc="T T T"
Fe 1.374 2.748 0.000
Fe 0.000 1.374 2.748
Fe 0.000 4.122 2.748
Fe 2.748 0.000 4.122
Fe 2.748 0.000 1.374
Fe 4.122 2.748 0.000
Dy 0.000 0.000 0.000
Dy 2.748 2.748 2.748
B 4.122 0.000 2.748
B 2.748 4.122 0.000
B 0.000 2.748 4.122
B 0.000 2.748 1.374
B 2.748 1.374 0.000
B 1.374 0.000 2.748
```